A relaxed Zn2TePt2 crystal, computed with PBE.

Relative energy among the computed polymorphs = 141.5 meV per atom
Formation energy without anion corrections = -0.19 eV per atom
Magnetic moment = 0.00 μB/f.u.
N(E_F) = 0.39 states/eV/atom

Unit cell a=7.707 b=7.707 c=2.913 alpha=90.00 beta=90.00 gamma=90.00
Sites, in units of the cell vectors:
Te: 0.500 0.500 0.000
Te: 0.000 0.000 0.000
Pt: 0.658 0.842 0.500
Pt: 0.158 0.658 0.500
Pt: 0.842 0.342 0.500
Pt: 0.342 0.158 0.500
Zn: 0.366 0.866 0.000
Zn: 0.134 0.366 0.000
Zn: 0.634 0.134 0.000
Zn: 0.866 0.634 0.000


A relaxed PuSnAu4 crystal, computed with PBE.

Relative energy among the computed polymorphs = 24.1 meV per atom
Calculated formation energy = -0.2350 eV per atom
Magnetic moment = 5.53 μB/f.u.
N(E_F) = 2.57 states/eV/atom

Unit cell a=5.232 b=5.232 c=10.139 alpha=105.02 beta=105.02 gamma=90.12
Last column: magnetic moment on the atom in μB.
Sites, in units of the cell vectors:
Au: 0.340 0.839 0.179  0.01
Au: 0.161 0.660 0.821  0.01
Au: 0.919 0.919 0.337  0.01
Au: 0.418 0.418 0.337  0.01
Au: 0.660 0.161 0.821  0.01
Au: 0.839 0.340 0.179  0.01
Au: 0.081 0.081 0.663  0.01
Au: 0.582 0.582 0.663  0.01
Sn: 0.000 0.500 0.500  0.01
Sn: 0.500 0.000 0.500  0.01
Pu: 0.750 0.750 0.000  5.23
Pu: 0.250 0.250 0.000  5.23


A relaxed KOs2W crystal, computed with PBE.

Relative energy among the computed polymorphs = 127.6 meV per atom
Calculated formation energy = 0.8154 eV per atom
Magnetic moment = 0.00 μB/f.u.
N(E_F) = 0.91 states/eV/atom

Unit cell a=2.766 b=2.766 c=10.202 alpha=90.00 beta=90.00 gamma=114.70
Sites, in units of the cell vectors:
Os: 0.000 0.000 0.037
Os: 0.000 0.000 0.463
K: 0.500 0.500 0.750
W: 0.500 0.500 0.250


A relaxed Eu2SiSn crystal, computed with PBE.

Relative energy among the computed polymorphs = 0.0 meV per atom
Formation energy without anion corrections = -0.49 eV per atom
Magnetic moment = 13.71 μB/f.u.
N(E_F) = 1.66 states/eV/atom

Unit cell a=3.477 b=3.477 c=8.798 alpha=90.00 beta=90.00 gamma=90.00
Last column: magnetic moment on the atom in μB.
Sites, in units of the cell vectors:
Eu: 0.000 0.000 0.775  6.78
Eu: 0.000 0.000 0.225  6.78
Si: 0.500 0.500 0.000  -0.06
Sn: 0.500 0.500 0.500  -0.08